Entry 1:
## Ho4NiIr (PBE)

Data for a geometry-optimized Ho4NiIr structure.

Lattice parameters (Å, degrees): 9.176 9.176 8.018 90.00 90.00 90.00
Space group I4_1md (No. 109)
Asymmetric unit:
Ho  0.000  0.200  0.000 (multiplicity 8)
Ho  0.000  0.202  0.494 (multiplicity 8)
Ni  0.000  0.000  0.249 (multiplicity 4)
Ir  0.000  0.000  0.745 (multiplicity 4)

Computed properties:
Total moment in μB per formula unit: 0.00
DOS(E_F) in states/eV/cell: 13.1
Calculated volume in Å³/atom: 28.1
ΔH_f (0 K) in meV per atom: -418
Electronic total energy in Ry per atom: -0.434



Entry 2:
## Li2ZnSn (PBE)

Data for a geometry-optimized Li2ZnSn structure.

Lattice parameters (Å, degrees): 4.179 4.298 7.972 90.00 90.00 90.00
Space group Pmma (No. 51)
Asymmetric unit:
Li  0.250  0.000  0.119 (multiplicity 2)
Li  0.250  0.000  0.630 (multiplicity 2)
Zn  0.250  0.500  0.892 (multiplicity 2)
Sn  0.250  0.500  0.358 (multiplicity 2)

Computed properties:
Total moment in μB per formula unit: 0.00
DOS(E_F) in states/eV/cell: 1.4
Calculated volume in Å³/atom: 17.9
ΔH_f (0 K) in meV per atom: -243
Electronic total energy in Ry per atom: -0.185



Repeat the first record exactly.
## Ho4NiIr (PBE)

Data for a geometry-optimized Ho4NiIr structure.

Lattice parameters (Å, degrees): 9.176 9.176 8.018 90.00 90.00 90.00
Space group I4_1md (No. 109)
Asymmetric unit:
Ho  0.000  0.200  0.000 (multiplicity 8)
Ho  0.000  0.202  0.494 (multiplicity 8)
Ni  0.000  0.000  0.249 (multiplicity 4)
Ir  0.000  0.000  0.745 (multiplicity 4)

Computed properties:
Total moment in μB per formula unit: 0.00
DOS(E_F) in states/eV/cell: 13.1
Calculated volume in Å³/atom: 28.1
ΔH_f (0 K) in meV per atom: -418
Electronic total energy in Ry per atom: -0.434